[1]
Density functional theory data (PBEsol) for crystalline K4SnSe4 at its relaxed geometry.

Its density is 3.22 Mg/m³. The formation energy (no corrections) is -1.01 eV per atom.

It has space group Pnma (No. 62), with a = 14.3841 Å, b = 10.2520 Å, c = 8.2603 Å, α = 90.00°, β = 90.00° and γ = 90.00°. The inequivalent atoms are K at (0.0000, 0.0000, 0.0000), K at (0.0816, 0.2500, 0.4868), K at (0.2264, 0.5487, 0.3388), Sn at (0.1652, 0.7500, 0.7342), Se at (0.0808, 0.5485, 0.6398), Se at (0.1709, 0.2500, 0.1139) and Se at (0.1750, 0.7500, 0.0424).

---

[2]
Density functional theory data (PBEsol) for crystalline CsNb4Br11 at its relaxed geometry.

Its density is 5.33 Mg/m³. The formation energy (no corrections) is -1.04 eV per atom.

It has space group Pmma (No. 51), with a = 16.7719 Å, b = 7.2643 Å, c = 7.0746 Å, α = 90.00°, β = 90.00° and γ = 90.00°. The inequivalent atoms are Cs at (0.2500, 0.0000, 0.0011), Nb at (0.0000, 0.2909, 0.5000), Nb at (0.1397, 0.5000, 0.6225), Br at (0.0770, 0.2450, 0.8198), Br at (0.0860, 0.0000, 0.3684), Br at (0.0872, 0.5000, 0.2832), Br at (0.2500, 0.2622, 0.4886) and Br at (0.2500, 0.5000, 0.9114).

---

[3]
Density functional theory data (PBEsol) for crystalline SrLi at its relaxed geometry.

As for the formation energy: 0.31 eV/f.u. Its density is 2.01 Mg/m³.

It has space group R-3m (No. 166, hexagonal axes), with a = 3.9657 Å, b = 3.9657 Å, c = 17.1680 Å, α = 90.00°, β = 90.00° and γ = 120.00°. The inequivalent atoms are Sr at (0.0000, 0.0000, 0.0000) and Li at (0.0000, 0.0000, 0.5000).

---

[4]
Density functional theory data (PBEsol) for crystalline Rb2YAgI6 at its relaxed geometry.

Its density is 4.54 Mg/m³. The formation energy (no corrections) is -1.15 eV per atom.

It has space group Fm-3m (No. 225), with a = 11.8253 Å, b = 11.8253 Å, c = 11.8253 Å, α = 90.00°, β = 90.00° and γ = 90.00°. The inequivalent atoms are Rb at (0.2500, 0.2500, 0.2500), Y at (0.0000, 0.0000, 0.0000), Ag at (0.0000, 0.0000, 0.5000) and I at (0.0000, 0.0000, 0.2516).

---

[5]
Density functional theory data (PBEsol) for crystalline BaBr3O at its relaxed geometry.

Its density is 2.61 Mg/m³. The formation energy (no corrections) is -0.27 eV per atom.

It has space group Pm-3m (No. 221), with a = 6.2973 Å, b = 6.2973 Å, c = 6.2973 Å, α = 90.00°, β = 90.00° and γ = 90.00°. The inequivalent atoms are Ba at (0.0000, 0.0000, 0.0000), Br at (0.0000, 0.0000, 0.5000) and O at (0.5000, 0.5000, 0.5000).

---

[6]
Density functional theory data (PBEsol) for crystalline MnP2O7 at its relaxed geometry.

Its density is 3.18 Mg/m³. The formation energy (no corrections) is -1.99 eV per atom.

It has space group P2_1 (No. 4), with a = 4.7016 Å, b = 7.7098 Å, c = 6.8490 Å, α = 90.00°, β = 105.86° and γ = 90.00°. The inequivalent atoms are Mn at (0.2204, 0.0000, 0.2298), P at (0.2282, 0.7355, 0.6052), P at (0.3907, 0.3186, 0.0056), O at (0.0500, 0.1886, 0.3320), O at (0.1329, 0.8404, 0.4108), O at (0.1475, 0.4536, 0.9555), O at (0.2827, 0.1325, 0.0174), O at (0.4083, 0.8157, 0.1367), O at (0.4191, 0.5755, 0.5947) and O at (0.4187, 0.8687, 0.7696).